Entry 1:
First-principles (GGA-PBE) data for a geometry-optimized MgAs2SeBr structure, as listed in Alexandria via LeMat-Bulk.

Cell and atoms, written as POSCAR:
```
MgAs2SeBr
1.0
-3.3171 -3.8048 -0.5356
1.8301 -2.1867 4.1994
-3.5613 2.6893 2.9524
As Mg Br Se
2 1 1 1
Direct
0.5000 0.0000 0.0000 As
0.0000 0.5000 0.0000 As
0.5000 0.5000 0.5000 Mg
0.0000 0.0000 0.0000 Br
0.0000 0.0000 0.5000 Se
```

Results
Polymorph energy (0 for the lowest one)   389 meV/atom
Raw total energy   -2.36 eV per atom
ΔE_f (raw)   0.855 eV/atom
SG   P4/mmm

=====

Entry 2:
First-principles (GGA-PBE) data for a geometry-optimized Ho6ErIn2 structure, as listed in Alexandria via LeMat-Bulk.

Cell and atoms, written as POSCAR:
```
Ho6ErIn2
1.0
3.6672 0.0000 0.5822
1.6045 6.1480 1.7342
0.0198 -0.0275 11.7157
Ho In Er
6 2 1
Direct
0.6894 0.2062 0.4150 Ho
0.6825 0.5117 0.1232 Ho
0.0159 0.3108 0.6575 Ho
0.9841 0.6892 0.3425 Ho
0.3175 0.4883 0.8768 Ho
0.3106 0.7938 0.5850 Ho
0.3566 0.0822 0.2046 In
0.6434 0.9178 0.7954 In
0.0000 0.0000 0.0000 Er
```

Results
Polymorph energy (0 for the lowest one)   0 meV/atom
Raw total energy   -4.37 eV per atom
E_form   -0.204 eV per atom
SG   C2/m

=====

Entry 3:
First-principles (GGA-PBE) data for a geometry-optimized CaTb2In structure, as listed in Alexandria via LeMat-Bulk.

Cell and atoms, written as POSCAR:
```
CaTb2In
1.0
5.5457 0.0000 0.0000
2.7729 4.8027 0.0000
2.7729 1.6009 4.5282
In Ca Tb
1 1 2
Direct
0.7500 0.7500 0.7499 In
0.4999 0.4999 0.5003 Ca
0.2499 0.2499 0.2502 Tb
0.0001 0.0001 0.9996 Tb
```

Results
Polymorph energy (0 for the lowest one)   146 meV/atom
Raw total energy   -3.57 eV per atom
E_form   -0.066 eV per atom
SG   F-43m

=====

Entry 4:
First-principles (GGA-PBE) data for a geometry-optimized PmHo3Er2Tm6 structure, as listed in Alexandria via LeMat-Bulk.

Cell and atoms, written as POSCAR:
```
PmHo3Er2Tm6
1.0
6.0801 0.0024 0.0052
-3.0365 5.2676 0.0052
-1.0210 -1.7679 11.4496
Ho Pm Tm Er
3 1 6 2
Direct
0.8331 0.1669 0.5000 Ho
0.5000 0.5000 0.5000 Ho
0.1669 0.8331 0.5000 Ho
0.0000 0.0000 0.0000 Pm
0.2498 0.2498 0.7492 Tm
0.5820 0.9158 0.7491 Tm
0.9158 0.5820 0.7491 Tm
0.7502 0.7502 0.2508 Tm
0.4180 0.0842 0.2509 Tm
0.0842 0.4180 0.2509 Tm
0.6666 0.3334 0.0000 Er
0.3334 0.6666 0.0000 Er
```

Results
Raw total energy   -4.51 eV per atom
E_form   0.023 eV per atom
SG   C2/m

=====

Entry 5:
First-principles (GGA-PBE) data for a geometry-optimized MnHOs2Rh structure, as listed in Alexandria via LeMat-Bulk.

Cell and atoms, written as POSCAR:
```
MnHOs2Rh
1.0
3.8470 0.0000 0.0000
0.0000 3.8470 0.0000
0.0000 0.0000 3.8703
Os Rh Mn H
2 1 1 1
Direct
0.5000 0.0000 0.0000 Os
0.0000 0.5000 0.0000 Os
0.5000 0.5000 0.5000 Rh
0.0000 0.0000 0.5000 Mn
0.0000 0.0000 0.0000 H
```

Results
Raw total energy   -8.33 eV per atom
SG   P4/mmm

=====

Entry 6:
First-principles (GGA-PBE) data for a geometry-optimized PaTlO4 structure, as listed in Alexandria via LeMat-Bulk.

Cell and atoms, written as POSCAR:
```
PaTlO4
1.0
3.7533 0.0000 0.0000
0.0000 3.7533 0.0000
0.0000 0.0000 6.0272
O Pa Tl
4 1 1
Direct
0.0000 0.5000 0.2813 O
0.5000 0.0000 0.7187 O
0.0000 0.5000 0.7187 O
0.5000 0.0000 0.2813 O
0.0000 0.0000 0.5000 Pa
0.0000 0.0000 0.0000 Tl
```

Results
Polymorph energy (0 for the lowest one)   411 meV/atom
Raw total energy   -7.16 eV per atom
ΔE_f (raw)   -1.878 eV/atom
SG   P4/mmm

=====

Entry 7:
First-principles (GGA-PBE) data for a geometry-optimized Tl5InHg2 structure, as listed in Alexandria via LeMat-Bulk.

Cell and atoms, written as POSCAR:
```
Tl5InHg2
1.0
4.7699 0.0000 0.0000
0.0000 6.9446 0.0000
0.0000 0.0000 14.1771
Tl Hg In
10 4 2
Direct
0.0000 0.6014 0.2574 Tl
0.0000 0.5000 0.5000 Tl
0.0000 0.8986 0.7574 Tl
0.5000 0.6915 0.6275 Tl
0.0000 0.0000 0.0000 Tl
0.5000 0.8085 0.1275 Tl
0.5000 0.3085 0.3725 Tl
0.0000 0.3986 0.7426 Tl
0.5000 0.1915 0.8725 Tl
0.0000 0.1014 0.2426 Tl
0.5000 0.3223 0.1173 Hg
0.5000 0.1777 0.6173 Hg
0.5000 0.6777 0.8827 Hg
0.5000 0.8223 0.3827 Hg
0.0000 0.0000 0.5000 In
0.0000 0.5000 0.0000 In
```

Results
Raw total energy   -1.87 eV per atom
E_form   0.025 eV per atom
SG   Pbam

=====

Entry 8:
First-principles (GGA-PBE) data for a geometry-optimized CoSbTe2Ir structure, as listed in Alexandria via LeMat-Bulk.

Cell and atoms, written as POSCAR:
```
CoSbTe2Ir
1.0
-0.3036 4.6808 -1.4085
-4.0544 0.5472 2.6923
2.6281 1.2829 3.6969
Ir Te Co Sb
1 2 1 1
Direct
0.5000 0.5000 0.5000 Ir
0.5000 0.0000 0.0000 Te
0.0000 0.5000 0.0000 Te
0.0000 0.0000 0.0000 Co
0.0000 0.0000 0.5000 Sb
```

Results
Polymorph energy (0 for the lowest one)   0 meV/atom
Raw total energy   -4.44 eV per atom
ΔE_f (raw)   0.839 eV/atom
SG   P4/mmm

=====

Entry 9:
First-principles (GGA-PBE) data for a geometry-optimized Ti7V2In structure, as listed in Alexandria via LeMat-Bulk.

Cell and atoms, written as POSCAR:
```
Ti7V2In
1.0
4.5027 0.0000 0.0000
0.0000 7.2288 -0.3591
0.0000 -3.5818 6.2893
Ti In V
7 1 2
Direct
0.5000 0.2959 0.0694 Ti
0.0000 0.2808 0.7192 Ti
0.5000 0.5000 0.5000 Ti
0.0000 0.7192 0.2808 Ti
0.5000 0.7041 0.9306 Ti
0.5000 0.0694 0.2959 Ti
0.5000 0.9306 0.7041 Ti
0.0000 0.0000 0.0000 In
0.5000 0.2856 0.7144 V
0.5000 0.7144 0.2856 V
```

Results
Raw total energy   -7.03 eV per atom
E_form   0.590 eV per atom
SG   Cmmm

=====

Entry 10:
First-principles (GGA-PBE) data for a geometry-optimized K2Na2SrSb2 structure, as listed in Alexandria via LeMat-Bulk.

Cell and atoms, written as POSCAR:
```
K2Na2SrSb2
1.0
-5.2840 1.1946 0.3061
-2.9817 -1.9182 4.1076
-0.6750 7.6311 6.6574
Na Sb K Sr
2 2 2 1
Direct
0.3889 0.3889 0.8332 Na
0.6111 0.6111 0.1668 Na
0.2660 0.2660 0.2019 Sb
0.7340 0.7340 0.7981 Sb
0.8673 0.8673 0.3980 K
0.1327 0.1327 0.6020 K
0.0000 0.0000 0.0000 Sr
```

Results
Raw total energy   -2.68 eV per atom
ΔE_f (raw)   -0.572 eV/atom
SG   R-3m

=====

| no. | total moment (μB/cell) |
| --- | --- |
| 1 | 0.000 |
| 2 | 0.000 |
| 3 | 0.006 |
| 4 | 0.001 |
| 5 | 1.791 |
| 6 | 0.000 |
| 7 | 0.000 |
| 8 | 0.000 |
| 9 | 0.001 |
| 10 | 0.000 |